A plane-wave DFT calculation with PBE-GGA was carried out for a relaxed structure of RbPaP2Pt2.

Unit cell a=4.1798 b=4.1798 c=9.0678 alpha=90.00 beta=90.00 gamma=120.00
Atoms (fractional coordinates):
Pt: 0.6667 0.3333 0.6991
P: 0.6667 0.3333 0.3011
Pa: 0.0000 0.0000 0.5000
P: 0.3333 0.6667 0.6989
Pt: 0.3333 0.6667 0.3009
Rb: 0.0000 0.0000 0.0000

Properties
mass density: 9.30 g cm⁻³
final energy: -0.2374 Ha/atom
SG: P-3m1, No. 164
energy relative to the elements: -0.899 eV per atom